(1)
Here is an optimized crystal structure of Rb2TaCrCl6 from Alexandria via LeMat-Bulk. Energies are from GGA-PBE.

The space group is I4/mmm (No. 139) and the conventional cell measures 7.729, 7.729 and 9.094 Å, with angles of 90.00, 90.00 and 90.00 degrees. The asymmetric unit holds Rb at (0.000, 0.500, 0.250), Ta at (0.000, 0.000, 0.000), Cr at (0.000, 0.000, 0.500), Cl at (0.000, 0.000, 0.257) and Cl at (0.232, 0.232, 0.000).

The energy relative to the elements, uncorrected comes out at -1148 meV per atom. The calculation puts the total moment at 7.00 μB per formula unit. The value obtained for the raw total energy is -4.597 eV/atom.

=====

(2)
Here is an optimized crystal structure of Pm2MgRu2 from Alexandria via LeMat-Bulk. Energies are from GGA-PBE.

The space group is Immm (No. 71) and the conventional cell measures 4.501, 5.841 and 8.473 Å, with angles of 90.00, 90.00 and 90.00 degrees. The asymmetric unit holds Pm at (0.000, 0.000, 0.208), Mg at (0.000, 0.500, 0.000) and Ru at (0.000, 0.284, 0.500).

The value obtained for the offset from the most stable computed form is 0.0000 eV/atom. The calculation puts the total moment at 0.00 μB per formula unit. The formation energy from the elements comes out at -0.21 eV per atom. The value obtained for the raw total energy is -6.135 eV/atom.

=====

(3)
Here is an optimized crystal structure of K2TmHF6 from Alexandria via LeMat-Bulk. Energies are from GGA-PBE.

The space group is C2/m (No. 12) and the conventional cell measures 9.596, 6.716 and 6.784 Å, with angles of 90.00, 134.92 and 90.00 degrees. The asymmetric unit holds K at (0.000, 0.250, 0.000), Tm at (0.000, 0.000, 0.500), H at (0.000, 0.500, 0.500), F at (0.000, 0.328, 0.500), F at (0.219, 0.000, 0.498) and F at (0.220, 0.000, 0.939).

The calculation puts the total moment at 0.19 μB per formula unit. The value obtained for the raw total energy is -5.176 eV/atom.